(1)
The following is a DFT calculation (PBE-GGA) of a relaxed structure of ScTi2I.

Output
Energy relative to the elements, uncorrected ... 0.47 eV per atom
Polymorph energy (0 for the lowest one) ... 0.6 kJ per mole of atoms
Volume ... 20.12 A^3/atom

Cell lengths 4.847, 4.847, 4.847 Å; angles 60.00, 60.00, 60.00 degrees
Positions (direct):
Sc  0.000  0.000  0.000
Ti  0.250  0.250  0.250
Ti  0.750  0.750  0.750
I  0.500  0.500  0.500

(2)
The following is a DFT calculation (PBE-GGA) of a relaxed structure of ScTi2TlI.

Output
Energy relative to the elements, uncorrected ... 0.98 eV per atom
Volume ... 27.70 A^3/atom

Cell lengths 4.955, 4.955, 5.641 Å; angles 90.00, 90.00, 90.00 degrees
Positions (direct):
Sc  0.000  0.000  0.000
Ti  0.000  0.500  0.000
Ti  0.500  0.000  0.000
Tl  0.000  0.000  0.500
I  0.500  0.500  0.500

(3)
The following is a DFT calculation (PBE-GGA) of a relaxed structure of ScTlI2.

Output
Energy relative to the elements, uncorrected ... -0.70 eV per atom
Polymorph energy (0 for the lowest one) ... 0.0 kJ per mole of atoms
Volume ... 36.04 A^3/atom

Cell lengths 11.236, 11.236, 11.236 Å; angles 19.93, 19.93, 19.93 degrees
Positions (direct):
Sc  0.000  0.000  0.000
Tl  0.500  0.500  0.500
I  0.391  0.391  0.391
I  0.609  0.609  0.609

(4)
The following is a DFT calculation (PBE-GGA) of a relaxed structure of ScTl4I7.

Output
Energy relative to the elements, uncorrected ... -0.81 eV per atom
Volume ... 43.56 A^3/atom

Cell lengths 11.823, 11.823, 8.376 Å; angles 106.50, 106.50, 27.83 degrees
Positions (direct):
Sc  0.000  0.000  0.000
Tl  0.315  0.315  0.738
Tl  0.421  0.421  0.355
Tl  0.579  0.579  0.645
Tl  0.685  0.685  0.262
I  0.073  0.073  0.347
I  0.111  0.111  0.903
I  0.277  0.277  0.318
I  0.500  0.500  0.000
I  0.723  0.723  0.682
I  0.889  0.889  0.097
I  0.927  0.927  0.653

(5)
The following is a DFT calculation (PBE-GGA) of a relaxed structure of ScTl5I8.

Output
Energy relative to the elements, uncorrected ... -0.75 eV per atom
Volume ... 53.22 A^3/atom

Cell lengths 9.956, 9.956, 9.956 Å; angles 105.11, 105.11, 118.59 degrees
Positions (direct):
Sc  0.000  0.000  0.000
Tl  0.157  0.139  0.538
Tl  0.250  0.750  0.500
Tl  0.381  0.843  0.982
Tl  0.601  0.619  0.462
Tl  0.861  0.399  0.018
I  0.319  0.617  0.192
I  0.323  0.158  0.233
I  0.383  0.574  0.701
I  0.426  0.127  0.808
I  0.842  0.075  0.165
I  0.873  0.681  0.299
I  0.910  0.677  0.835
I  0.925  0.090  0.767

(6)
The following is a DFT calculation (PBE-GGA) of a relaxed structure of ScTl6I8.

Output
Energy relative to the elements, uncorrected ... -0.70 eV per atom
Volume ... 43.57 A^3/atom

Cell lengths 10.497, 10.497, 6.849 Å; angles 90.00, 90.00, 120.00 degrees
Positions (direct):
Sc  0.000  0.000  0.000
Tl  0.000  0.379  0.789
Tl  0.000  0.621  0.211
Tl  0.379  0.000  0.789
Tl  0.379  0.379  0.211
Tl  0.621  0.000  0.211
Tl  0.621  0.621  0.789
I  0.000  0.237  0.242
I  0.000  0.763  0.758
I  0.237  0.000  0.242
I  0.237  0.237  0.758
I  0.333  0.667  0.000
I  0.667  0.333  0.000
I  0.763  0.000  0.758
I  0.763  0.763  0.242

(7)
The following is a DFT calculation (PBE-GGA) of a relaxed structure of ScTlI.

Output
Energy relative to the elements, uncorrected ... -0.41 eV per atom
Volume ... 32.48 A^3/atom

Cell lengths 3.794, 3.794, 15.638 Å; angles 90.00, 90.00, 120.00 degrees
Positions (direct):
Sc  0.000  0.000  0.000
Sc  0.333  0.667  0.500
Tl  0.000  0.000  0.359
Tl  0.000  0.000  0.641
I  0.333  0.667  0.125
I  0.333  0.667  0.875

(8)
The following is a DFT calculation (PBE-GGA) of a relaxed structure of ScTl3I6.

Output
Energy relative to the elements, uncorrected ... -0.88 eV per atom
Volume ... 42.80 A^3/atom

Cell lengths 8.094, 8.980, 13.847 Å; angles 90.00, 121.73, 90.00 degrees
Positions (direct):
Sc  0.000  0.000  0.000
Sc  0.000  0.500  0.500
Tl  0.307  0.093  0.767
Tl  0.307  0.407  0.267
Tl  0.500  0.000  0.500
Tl  0.500  0.500  0.000
Tl  0.693  0.593  0.733
Tl  0.693  0.907  0.233
I  0.090  0.054  0.230
I  0.090  0.446  0.730
I  0.226  0.724  0.074
I  0.226  0.776  0.574
I  0.344  0.165  0.048
I  0.344  0.335  0.548
I  0.656  0.665  0.452
I  0.656  0.835  0.952
I  0.774  0.224  0.426
I  0.774  0.276  0.926
I  0.910  0.554  0.270
I  0.910  0.946  0.770

(9)
The following is a DFT calculation (PBE-GGA) of a relaxed structure of ScTl3I.

Output
Energy relative to the elements, uncorrected ... 0.20 eV per atom
Polymorph energy (0 for the lowest one) ... 0.0 kJ per mole of atoms
Volume ... 40.48 A^3/atom

Cell lengths 5.871, 5.871, 5.871 Å; angles 90.00, 90.00, 90.00 degrees
Positions (direct):
Sc  0.000  0.000  0.000
Tl  0.000  0.000  0.500
Tl  0.000  0.500  0.000
Tl  0.500  0.000  0.000
I  0.500  0.500  0.500

(10)
The following is a DFT calculation (PBE-GGA) of a relaxed structure of ScTlI2.

Output
Energy relative to the elements, uncorrected ... -0.32 eV per atom
Polymorph energy (0 for the lowest one) ... 36.6 kJ per mole of atoms
Volume ... 31.23 A^3/atom

Cell lengths 5.611, 5.611, 5.611 Å; angles 60.00, 60.00, 60.00 degrees
Positions (direct):
Sc  0.000  0.000  0.000
Tl  0.500  0.500  0.500
I  0.250  0.250  0.250
I  0.750  0.750  0.750

(11)
The following is a DFT calculation (PBE-GGA) of a relaxed structure of Sc3TlI.

Output
Energy relative to the elements, uncorrected ... 0.28 eV per atom
Polymorph energy (0 for the lowest one) ... 0.0 kJ per mole of atoms
Volume ... 29.32 A^3/atom

Cell lengths 5.273, 5.273, 5.273 Å; angles 90.00, 90.00, 90.00 degrees
Positions (direct):
Sc  0.000  0.000  0.500
Sc  0.000  0.500  0.000
Sc  0.500  0.000  0.000
Tl  0.500  0.500  0.500
I  0.000  0.000  0.000

(12)
The following is a DFT calculation (PBE-GGA) of a relaxed structure of Sc3Tl6I14.

Output
Energy relative to the elements, uncorrected ... -0.88 eV per atom
Volume ... 44.61 A^3/atom

Cell lengths 12.672, 12.672, 7.379 Å; angles 90.00, 90.00, 120.00 degrees
Positions (direct):
Sc  0.000  0.000  0.000
Sc  0.333  0.667  0.506
Sc  0.667  0.333  0.372
Tl  0.022  0.556  0.108
Tl  0.308  0.105  0.578
Tl  0.444  0.466  0.108
Tl  0.534  0.978  0.108
Tl  0.798  0.692  0.578
Tl  0.895  0.202  0.578
I  0.000  0.000  0.374
I  0.082  0.850  0.867
I  0.150  0.231  0.867
I  0.190  0.435  0.367
I  0.245  0.810  0.367
I  0.333  0.667  0.879
I  0.445  0.196  0.145
I  0.526  0.415  0.591
I  0.565  0.755  0.367
I  0.585  0.111  0.591
I  0.750  0.555  0.145
I  0.769  0.918  0.867
I  0.804  0.250  0.145
I  0.889  0.474  0.591

The lowest volume belongs to which entry?
ScTi2I

Which value of energy relative to the elements, uncorrected does entry 10 give?
-0.32 eV per atom

The lowest volume belongs to which entry?
ScTi2I